La2Zn2Ga SCAN single point on PBEsol structure; Fermi-level density of states = 0.736 states/eV/atom; symmetry = No. 127; energy relative to the elements = -0.4566 eV/atom
1.0
4.734 0.000 0.000
0.000 6.936 0.000
0.000 0.000 6.936
Zn Ga La
4 2 4
Direct
0.000 0.370 0.870
0.000 0.870 0.630
0.000 0.630 0.130
0.000 0.130 0.370
0.000 0.000 0.000
0.000 0.500 0.500
0.500 0.174 0.674
0.500 0.674 0.826
0.500 0.826 0.326
0.500 0.326 0.174

=====

La2Zn2Ga SCAN single point on PBEsol structure; Fermi-level density of states = 0.781 states/eV/atom; symmetry = No. 139; energy relative to the elements = -0.2849 eV/atom
1.0
-1.592 -0.788 -3.088
3.184 -0.547 -1.502
-1.173 -8.456 4.818
Zn Ga La
2 1 2
Direct
0.250 0.750 0.500
0.750 0.250 0.500
0.000 0.000 0.000
0.398 0.398 0.796
0.602 0.602 0.204

=====

LaZnGa SCAN single point on PBEsol structure; Fermi-level density of states = 0.607 states/eV/atom; symmetry = No. 194; energy relative to the elements = -0.6339 eV/atom
1.0
4.479 0.000 0.000
-2.239 3.879 0.000
0.000 0.000 7.725
Zn Ga La
2 2 2
Direct
0.333 0.667 0.750
0.667 0.333 0.250
0.333 0.667 0.250
0.667 0.333 0.750
0.000 0.000 0.000
0.000 0.000 0.500

=====

LiGa3 SCAN single point on PBEsol structure; Fermi-level density of states = 0.338 states/eV/atom; symmetry = No. 194; energy relative to the elements = -0.1832 eV/atom
1.0
-1.952 -3.838 -2.020
1.332 -3.047 4.502
-4.933 2.633 -0.237
Li Ga
2 6
Direct
0.250 0.667 0.333
0.750 0.333 0.667
0.750 0.834 0.166
0.750 0.834 0.668
0.750 0.332 0.166
0.250 0.166 0.834
0.250 0.166 0.332
0.250 0.668 0.834

=====

Li2Ga7 SCAN single point on PBEsol structure; Fermi-level density of states = 0.019 states/eV/atom; symmetry = No. 8; energy relative to the elements = -0.2473 eV/atom
1.0
-3.262 -5.627 -3.443
3.372 -1.466 -6.375
4.074 -6.080 0.590
Ga Li
14 4
Direct
0.183 0.699 0.711
0.699 0.183 0.711
0.704 0.704 0.188
0.811 0.299 0.295
0.299 0.811 0.295
0.297 0.297 0.818
0.175 0.489 0.487
0.489 0.175 0.487
0.486 0.486 0.172
0.825 0.505 0.512
0.505 0.825 0.512
0.510 0.510 0.826
0.079 0.079 0.076
0.919 0.919 0.928
0.117 0.117 0.519
0.482 0.886 0.887
0.886 0.482 0.887
0.882 0.882 0.455

=====

Li5Ga4 SCAN single point on PBEsol structure; Fermi-level density of states = 0.152 states/eV/atom; symmetry = No. 164; energy relative to the elements = -0.3866 eV/atom
1.0
-3.933 1.026 -1.429
1.105 -4.136 0.485
-2.745 0.166 7.674
Ga Li
4 5
Direct
0.667 0.333 0.221
0.333 0.667 0.779
0.000 0.000 0.667
0.000 0.000 0.333
0.667 0.333 0.881
0.333 0.667 0.119
0.667 0.333 0.553
0.333 0.667 0.447
0.000 0.000 0.000

=====

Li3Ga2 SCAN single point on PBEsol structure; Fermi-level density of states = 0.213 states/eV/atom; symmetry = No. 166; energy relative to the elements = -0.3673 eV/atom
1.0
-1.766 3.891 0.481
-2.353 1.700 -3.172
-5.114 -0.050 0.852
Ga Li
2 3
Direct
0.200 0.200 0.399
0.800 0.800 0.601
0.000 0.000 0.000
0.596 0.596 0.211
0.404 0.404 0.789

=====

LiGa3 SCAN single point on PBEsol structure; Fermi-level density of states = 0.252 states/eV/atom; symmetry = No. 221; energy relative to the elements = -0.2137 eV/atom
1.0
3.995 0.000 0.000
0.000 3.995 0.000
0.000 0.000 3.995
Ga Li
3 1
Direct
0.500 0.000 0.500
0.000 0.500 0.500
0.500 0.500 0.000
0.000 0.000 0.000